! HgOsBr2, optimized geometry, DFT GGA-PBE; values from VASP
! - theoretical density (g cm⁻³) = 8.9
! - energy relative to the elements, uncorrected (meV per atom) = 1222
! - total moment (μB per formula unit) = 2.662
&SYSTEM
  ibrav = 0, nat = 8, ntyp = 3
/
ATOMIC_SPECIES
Hg 200.59 Hg.upf
Os 190.23 Os.upf
Br 79.90 Br.upf
CELL_PARAMETERS angstrom
3.934 0.000 0.000
0.000 3.934 0.000
0.000 0.000 13.232
ATOMIC_POSITIONS crystal
Hg 0.000 0.000 0.000
Hg 0.500 0.500 0.500
Os 0.000 0.500 0.750
Os 0.500 0.000 0.250
Br 0.000 0.000 0.500
Br 0.000 0.500 0.250
Br 0.500 0.000 0.750
Br 0.500 0.500 0.000